Entry 1:
Below is an optimized crystal structure of Ni2AgHg, with properties calculated at the PBE-GGA level.

a b c (Å): 4.6627 4.6627 4.8769
angles (deg): 100.88 100.88 36.10
Sites, in units of the cell vectors:
Ni: 0.2494 0.2494 0.2589
Ni: 0.7506 0.7506 0.7411
Ag: 0.0000 0.0000 0.5000
Hg: 0.5000 0.5000 0.0000

Computed properties:
- Calculated formation energy: 7.41 kcal/mol of atoms
- Crystal system: monoclinic
- SG: C2/m (12)
- E: -13.43 eV for the cell shown
- Total moment: 0.34 μB/f.u.

Entry 2:
Below is an optimized crystal structure of Sc4Se5O, with properties calculated at the PBE-GGA level.

a b c (Å): 7.8003 7.8003 9.1991
angles (deg): 105.41 105.41 29.07
Sites, in units of the cell vectors:
Sc: 0.0018 0.0018 0.3003
Sc: 0.3669 0.3669 0.9347
Sc: 0.6331 0.6331 0.0653
Sc: 0.9982 0.9982 0.6997
Se: 0.1609 0.1609 0.8700
Se: 0.1635 0.1635 0.2798
Se: 0.5000 0.5000 0.5000
Se: 0.8365 0.8365 0.7202
Se: 0.8391 0.8391 0.1300
O: 0.5000 0.5000 0.0000

Computed properties:
- Crystal system: monoclinic
- SG: C2/m (12)
- E: -65.24 eV for the cell shown
- Total moment: 0.00 μB/f.u.

Entry 3:
Below is an optimized crystal structure of NdThSb2, with properties calculated at the PBE-GGA level.

a b c (Å): 8.2791 8.2791 8.2791
angles (deg): 30.77 30.77 30.77
Sites, in units of the cell vectors:
Nd: 0.0000 0.0000 0.0000
Th: 0.1716 0.1716 0.1716
Sb: 0.4192 0.4192 0.4192
Sb: 0.5874 0.5874 0.5874

Computed properties:
- Crystal system: trigonal
- SG: R3m (160)
- E: -24.28 eV for the cell shown
- Total moment: 0.60 μB/f.u.

Entry 4:
Below is an optimized crystal structure of RbRhSeBr2, with properties calculated at the PBE-GGA level.

a b c (Å): 6.2702 6.2702 6.1955
angles (deg): 90.00 90.00 90.00
Sites, in units of the cell vectors:
Rb: 0.0000 0.0000 0.0000
Rh: 0.5000 0.5000 0.5000
Se: 0.0000 0.0000 0.5000
Br: 0.0000 0.5000 0.0000
Br: 0.5000 0.0000 0.0000

Computed properties:
- Crystal system: tetragonal
- SG: P4/mmm (123)
- E: -10.51 eV for the cell shown
- Total moment: 4.04 μB/f.u.

Entry 5:
Below is an optimized crystal structure of Cd2Pb2I, with properties calculated at the PBE-GGA level.

a b c (Å): 8.8812 8.8812 8.8812
angles (deg): 151.69 151.69 40.47
Sites, in units of the cell vectors:
Cd: 0.2500 0.7500 0.5000
Cd: 0.7500 0.2500 0.5000
Pb: 0.1035 0.1035 0.0000
Pb: 0.8965 0.8965 0.0000
I: 0.5000 0.5000 0.0000

Computed properties:
- Crystal system: tetragonal
- SG: I4/mmm (139)
- E: -10.66 eV for the cell shown
- Total moment: 0.00 μB/f.u.

Entry 6:
Below is an optimized crystal structure of Y2Al3Os, with properties calculated at the PBE-GGA level.

a b c (Å): 5.4415 5.4415 5.4415
angles (deg): 60.52 60.52 60.52
Sites, in units of the cell vectors:
Y: 0.1276 0.1276 0.1276
Y: 0.8724 0.8724 0.8724
Al: 0.0000 0.5000 0.5000
Al: 0.5000 0.0000 0.5000
Al: 0.5000 0.5000 0.0000
Os: 0.5000 0.5000 0.5000

Computed properties:
- Calculated formation energy: -11.94 kcal/mol of atoms
- Crystal system: trigonal
- SG: R-3m (166)
- E: -38.49 eV for the cell shown
- Total moment: 0.00 μB/f.u.

Entry 7:
Below is an optimized crystal structure of PrZnRhPb, with properties calculated at the PBE-GGA level.

a b c (Å): 4.9723 4.9723 4.9723
angles (deg): 60.00 60.00 60.00
Sites, in units of the cell vectors:
Pr: 0.0000 0.0000 0.0000
Zn: 0.2500 0.2500 0.2500
Rh: 0.7500 0.7500 0.7500
Pb: 0.5000 0.5000 0.5000

Computed properties:
- Calculated formation energy: -7.41 kcal/mol of atoms
- Crystal system: cubic
- SG: F-43m (216)
- E: -18.40 eV for the cell shown
- Total moment: 0.00 μB/f.u.

Entry 8:
Below is an optimized crystal structure of HfV2H, with properties calculated at the PBE-GGA level.

a b c (Å): 7.9413 7.9413 7.9413
angles (deg): 20.24 20.24 20.24
Sites, in units of the cell vectors:
Hf: 0.0000 0.0000 0.0000
V: 0.1159 0.1159 0.1159
V: 0.8841 0.8841 0.8841
H: 0.5000 0.5000 0.5000

Computed properties:
- Crystal system: trigonal
- SG: R-3m (166)
- E: -30.23 eV for the cell shown
- Total moment: 0.00 μB/f.u.